[1]
# Ca2CdN2

A relaxed Ca2CdN2 crystal (PBEsol, Alexandria).

Cell: 7.139 7.139 7.139 Å, 151.21 151.21 41.17°
Positions (direct):
1 Ca 0.169 0.169 0.000
2 Ca 0.831 0.831 0.000
3 Cd 0.500 0.500 0.000
4 N 0.346 0.346 0.000
5 N 0.654 0.654 0.000

Properties
The total DFT energy (no corrections) is -25.694 eV for the cell shown. The value obtained for the uncorrected formation energy is -0.64 eV/atom.

---

[2]
# Ca3CdN

A relaxed Ca3CdN crystal (PBEsol, Alexandria).

Cell: 4.880 4.880 4.880 Å, 90.00 90.00 90.00°
Positions (direct):
1 Ca 0.000 0.000 0.500
2 Ca 0.000 0.500 0.000
3 Ca 0.500 0.000 0.000
4 Cd 0.500 0.500 0.500
5 N 0.000 0.000 0.000

Properties
The total DFT energy (no corrections) is -19.320 eV for the cell shown. The value obtained for the uncorrected formation energy is -0.64 eV/atom.

---

[3]
# CaCdN2O

A relaxed CaCdN2O crystal (PBEsol, Alexandria).

Cell: 4.156 4.156 4.250 Å, 90.00 90.00 90.00°
Positions (direct):
1 Ca 0.000 0.000 0.000
2 Cd 0.500 0.500 0.500
3 N 0.000 0.500 0.500
4 N 0.500 0.000 0.500
5 O 0.500 0.500 0.000

Properties
The total DFT energy (no corrections) is -22.985 eV for the cell shown. The value obtained for the uncorrected formation energy is 0.53 eV/atom.

---

[4]
# NaCa2Cd2

A relaxed NaCa2Cd2 crystal (PBEsol, Alexandria).

Cell: 8.234 8.234 4.354 Å, 90.00 90.00 90.00°
Positions (direct):
1 Na 0.000 0.000 0.000
2 Na 0.500 0.500 0.000
3 Ca 0.166 0.334 0.500
4 Ca 0.334 0.834 0.500
5 Ca 0.666 0.166 0.500
6 Ca 0.834 0.666 0.500
7 Cd 0.128 0.628 0.000
8 Cd 0.372 0.128 0.000
9 Cd 0.628 0.872 0.000
10 Cd 0.872 0.372 0.000

Properties
The calculation puts the excess energy over the best structure of this formula in the dataset at 0.0 kJ per mole of atoms. The value obtained for the energy of formation from the pure elements is -1.1 eV per formula unit. The total DFT energy (no corrections) is -18.249 eV for the cell shown.

---

[5]
# NaCa2Cd2

A relaxed NaCa2Cd2 crystal (PBEsol, Alexandria).

Cell: 9.644 9.644 9.644 Å, 154.91 154.91 35.78°
Positions (direct):
1 Na 0.000 0.000 0.000
2 Ca 0.386 0.386 0.000
3 Ca 0.614 0.614 0.000
4 Cd 0.250 0.750 0.500
5 Cd 0.750 0.250 0.500

Properties
The calculation puts the excess energy over the best structure of this formula in the dataset at 19.8 kJ per mole of atoms. The value obtained for the energy of formation from the pure elements is 0.0 eV per formula unit. The total DFT energy (no corrections) is -8.100 eV for the cell shown.

---

[6]
# NaCaTiCd2

A relaxed NaCaTiCd2 crystal (PBEsol, Alexandria).

Cell: 5.336 5.336 5.420 Å, 90.00 90.00 90.00°
Positions (direct):
1 Na 0.000 0.000 0.000
2 Ca 0.500 0.500 0.000
3 Ti 0.500 0.500 0.500
4 Cd 0.000 0.500 0.500
5 Cd 0.500 0.000 0.500

Properties
The value obtained for the energy of formation from the pure elements is 2.9 eV per formula unit. The total DFT energy (no corrections) is -11.347 eV for the cell shown.

---

[7]
# CaNbCd3

A relaxed CaNbCd3 crystal (PBEsol, Alexandria).

Cell: 5.280 5.280 5.280 Å, 90.00 90.00 90.00°
Positions (direct):
1 Ca 0.000 0.000 0.000
2 Nb 0.500 0.500 0.500
3 Cd 0.000 0.500 0.500
4 Cd 0.500 0.000 0.500
5 Cd 0.500 0.500 0.000

Properties
The calculation puts the excess energy over the best structure of this formula in the dataset at 0.0 kJ per mole of atoms. The value obtained for the energy of formation from the pure elements is 3.2 eV per formula unit. The total DFT energy (no corrections) is -13.341 eV for the cell shown.

---

[8]
# CaNb3Cd

A relaxed CaNb3Cd crystal (PBEsol, Alexandria).

Cell: 4.694 4.694 4.694 Å, 90.00 90.00 90.00°
Positions (direct):
1 Ca 0.000 0.000 0.000
2 Nb 0.000 0.000 0.500
3 Nb 0.000 0.500 0.000
4 Nb 0.500 0.000 0.000
5 Cd 0.500 0.500 0.500

Properties
The value obtained for the energy of formation from the pure elements is 10.4 eV per formula unit. The total DFT energy (no corrections) is -25.378 eV for the cell shown.

---

- What is the formula in the fourth record?
  NaCa2Cd2

---

Please write out number 7 again, unchanged.
# CaNbCd3

A relaxed CaNbCd3 crystal (PBEsol, Alexandria).

Cell: 5.280 5.280 5.280 Å, 90.00 90.00 90.00°
Positions (direct):
1 Ca 0.000 0.000 0.000
2 Nb 0.500 0.500 0.500
3 Cd 0.000 0.500 0.500
4 Cd 0.500 0.000 0.500
5 Cd 0.500 0.500 0.000

Properties
The calculation puts the excess energy over the best structure of this formula in the dataset at 0.0 kJ per mole of atoms. The value obtained for the energy of formation from the pure elements is 3.2 eV per formula unit. The total DFT energy (no corrections) is -13.341 eV for the cell shown.